# 1
# NpBiAu4

A relaxed NpBiAu4 crystal (PBE, Alexandria via LeMat-Bulk).

Cell and atoms, written as CIF:
```
data_NpBiAu4
_chemical_formula_sum 'Np1 Bi1 Au4'
_cell_length_a 5.7062
_cell_length_b 5.7062
_cell_length_c 5.7062
_cell_angle_alpha 60.00
_cell_angle_beta 60.00
_cell_angle_gamma 60.00
_space_group_name_H-M_alt 'P 1'
_space_group_IT_number 1
_space_group_name_Hall 'P 1'
loop_
_atom_site_label
_atom_site_type_symbol
_atom_site_fract_x
_atom_site_fract_y
_atom_site_fract_z
Au1 Au 0.1237 0.6254 0.6254
Au2 Au 0.6254 0.6254 0.6254
Au3 Au 0.6254 0.1237 0.6254
Au4 Au 0.6254 0.6254 0.1237
Bi1 Bi 0.2500 0.2500 0.2500
Np1 Np 0.0000 0.0000 0.0000
```

## Properties
DFT formation energy	-0.10	eV per atom
crystal system	cubic
relative energy among the computed polymorphs	24	meV/atom
total energy	-5.09	eV per atom


# 2
# La2Ce2SnGe4

A relaxed La2Ce2SnGe4 crystal (PBE, Alexandria via LeMat-Bulk).

Cell and atoms, written as CIF:
```
data_La2Ce2SnGe4
_chemical_formula_sum 'La2 Ce2 Sn1 Ge4'
_cell_length_a 6.8852
_cell_length_b 6.8852
_cell_length_c 6.8852
_cell_angle_alpha 100.77
_cell_angle_beta 113.99
_cell_angle_gamma 113.99
_space_group_name_H-M_alt 'P 1'
_space_group_IT_number 1
_space_group_name_Hall 'P 1'
loop_
_atom_site_label
_atom_site_type_symbol
_atom_site_fract_x
_atom_site_fract_y
_atom_site_fract_z
Ce1 Ce 0.0000 0.3434 0.3434
Ce2 Ce 0.0000 0.6566 0.6566
La1 La 0.5000 0.2500 0.7500
Ge1 Ge 0.0000 0.7431 0.2569
La2 La 0.5000 0.7500 0.2500
Ge2 Ge 0.4861 0.7431 0.7431
Sn1 Sn 0.0000 0.0000 0.0000
Ge3 Ge 0.0000 0.2569 0.7431
Ge4 Ge 0.5139 0.2569 0.2569
```

## Properties
DFT formation energy	-0.29	eV per atom
crystal system	tetragonal
total energy	-5.20	eV per atom


# 3
# CuSe2BrN

A relaxed CuSe2BrN crystal (PBE, Alexandria via LeMat-Bulk).

Cell and atoms, written as CIF:
```
data_CuSe2BrN
_chemical_formula_sum 'Cu1 Se2 Br1 N1'
_cell_length_a 4.0412
_cell_length_b 4.0412
_cell_length_c 7.6248
_cell_angle_alpha 90.00
_cell_angle_beta 90.00
_cell_angle_gamma 90.00
_space_group_name_H-M_alt 'P 1'
_space_group_IT_number 1
_space_group_name_Hall 'P 1'
loop_
_atom_site_label
_atom_site_type_symbol
_atom_site_fract_x
_atom_site_fract_y
_atom_site_fract_z
Se1 Se 0.5000 0.0000 0.0000
Br1 Br 0.0000 0.0000 0.5000
N1 N 0.0000 0.0000 0.0000
Cu1 Cu 0.5000 0.5000 0.5000
Se2 Se 0.0000 0.5000 0.0000
```

## Properties
crystal system	tetragonal
formation energy without anion corrections	86.5	kJ/mol of atoms
relative energy among the computed polymorphs	0	meV/atom
total energy	-3.32	eV per atom


# 4
# LiAc2TbO5

A relaxed LiAc2TbO5 crystal (PBE, Alexandria via LeMat-Bulk).

Cell and atoms, written as CIF:
```
data_LiAc2TbO5
_chemical_formula_sum 'Li1 Ac2 Tb1 O5'
_cell_length_a 3.7513
_cell_length_b 3.7513
_cell_length_c 9.5353
_cell_angle_alpha 90.00
_cell_angle_beta 90.00
_cell_angle_gamma 90.00
_space_group_name_H-M_alt 'P 1'
_space_group_IT_number 1
_space_group_name_Hall 'P 1'
loop_
_atom_site_label
_atom_site_type_symbol
_atom_site_fract_x
_atom_site_fract_y
_atom_site_fract_z
O1 O 0.5000 0.5000 0.0000
O2 O 0.0000 0.5000 0.5000
O3 O 0.0000 0.0000 0.7705
Ac1 Ac 0.5000 0.5000 0.3192
O4 O 0.0000 0.0000 0.2295
Ac2 Ac 0.5000 0.5000 0.6808
Li1 Li 0.0000 0.0000 0.5000
Tb1 Tb 0.0000 0.0000 0.0000
O5 O 0.5000 0.0000 0.5000
```

## Properties
crystal system	tetragonal
formation energy without anion corrections	-285.8	kJ/mol of atoms
total energy	-7.36	eV per atom


# 5
# U2CuGe4Pd3

A relaxed U2CuGe4Pd3 crystal (PBE, Alexandria via LeMat-Bulk).

Cell and atoms, written as CIF:
```
data_U2CuGe4Pd3
_chemical_formula_sum 'U2 Cu1 Ge4 Pd3'
_cell_length_a 4.1570
_cell_length_b 4.1570
_cell_length_c 10.6667
_cell_angle_alpha 90.00
_cell_angle_beta 90.00
_cell_angle_gamma 90.00
_space_group_name_H-M_alt 'P 1'
_space_group_IT_number 1
_space_group_name_Hall 'P 1'
loop_
_atom_site_label
_atom_site_type_symbol
_atom_site_fract_x
_atom_site_fract_y
_atom_site_fract_z
Pd1 Pd 0.5000 0.0000 0.8615
Ge1 Ge 0.0000 0.5000 0.3673
Pd2 Pd 0.0000 0.5000 0.1385
Ge2 Ge 0.0000 0.0000 0.0000
U1 U 0.5000 0.0000 0.2571
Cu1 Cu 0.5000 0.5000 0.5000
Ge3 Ge 0.5000 0.0000 0.6327
U2 U 0.0000 0.5000 0.7429
Ge4 Ge 0.5000 0.5000 0.0000
Pd3 Pd 0.0000 0.0000 0.5000
```

## Properties
DFT formation energy	-0.36	eV per atom
crystal system	tetragonal
total energy	-6.43	eV per atom


# 6
# ZnIn4Hg

A relaxed ZnIn4Hg crystal (PBE, Alexandria via LeMat-Bulk).

Cell and atoms, written as CIF:
```
data_ZnIn4Hg
_chemical_formula_sum 'Zn1 In4 Hg1'
_cell_length_a 6.1961
_cell_length_b 6.1961
_cell_length_c 6.1961
_cell_angle_alpha 60.00
_cell_angle_beta 60.00
_cell_angle_gamma 60.00
_space_group_name_H-M_alt 'P 1'
_space_group_IT_number 1
_space_group_name_Hall 'P 1'
loop_
_atom_site_label
_atom_site_type_symbol
_atom_site_fract_x
_atom_site_fract_y
_atom_site_fract_z
In1 In 0.3751 0.3751 0.3751
In2 In 0.8747 0.3751 0.3751
Hg1 Hg 0.0000 0.0000 0.0000
In3 In 0.3751 0.8747 0.3751
In4 In 0.3751 0.3751 0.8747
Zn1 Zn 0.7500 0.7500 0.7500
```

## Properties
DFT formation energy	0.22	eV per atom
crystal system	cubic
relative energy among the computed polymorphs	177	meV/atom
total energy	-1.87	eV per atom


# 7
# BaCa3C

A relaxed BaCa3C crystal (PBE, Alexandria via LeMat-Bulk).

Cell and atoms, written as CIF:
```
data_BaCa3C
_chemical_formula_sum 'Ba1 Ca3 C1'
_cell_length_a 5.4175
_cell_length_b 5.4175
_cell_length_c 5.4175
_cell_angle_alpha 90.00
_cell_angle_beta 90.00
_cell_angle_gamma 90.00
_space_group_name_H-M_alt 'P 1'
_space_group_IT_number 1
_space_group_name_Hall 'P 1'
loop_
_atom_site_label
_atom_site_type_symbol
_atom_site_fract_x
_atom_site_fract_y
_atom_site_fract_z
Ba1 Ba 0.5000 0.5000 0.5000
Ca1 Ca 0.0000 0.0000 0.5000
Ca2 Ca 0.0000 0.5000 0.0000
Ca3 Ca 0.5000 0.0000 0.0000
C1 C 0.0000 0.0000 0.0000
```

## Properties
DFT formation energy	0.32	eV per atom
crystal system	cubic
relative energy among the computed polymorphs	0	meV/atom
total energy	-3.11	eV per atom


# 8
# SmIn2AgCl6

A relaxed SmIn2AgCl6 crystal (PBE, Alexandria via LeMat-Bulk).

Cell and atoms, written as CIF:
```
data_SmIn2AgCl6
_chemical_formula_sum 'Sm2 In4 Ag2 Cl12'
_cell_length_a 7.3360
_cell_length_b 7.7520
_cell_length_c 10.4776
_cell_angle_alpha 90.00
_cell_angle_beta 88.83
_cell_angle_gamma 90.00
_space_group_name_H-M_alt 'P 1'
_space_group_IT_number 1
_space_group_name_Hall 'P 1'
loop_
_atom_site_label
_atom_site_type_symbol
_atom_site_fract_x
_atom_site_fract_y
_atom_site_fract_z
Ag1 Ag 0.5000 0.0000 0.0000
Cl1 Cl 0.8114 0.7922 0.9487
Cl2 Cl 0.8031 0.8101 0.5456
Cl3 Cl 0.8967 0.5266 0.2498
In1 In 0.4772 0.4255 0.2437
Ag2 Ag 0.0000 0.5000 0.5000
Cl4 Cl 0.1886 0.2078 0.0513
Cl5 Cl 0.3967 0.9734 0.7498
Sm1 Sm 0.5000 0.0000 0.5000
Cl6 Cl 0.6969 0.3101 0.9544
Cl7 Cl 0.6886 0.2922 0.5513
Cl8 Cl 0.1033 0.4734 0.7502
Cl9 Cl 0.1969 0.1899 0.4544
In2 In 0.9772 0.0745 0.7437
Cl10 Cl 0.3114 0.7078 0.4487
In3 In 0.5228 0.5745 0.7563
Sm2 Sm 0.0000 0.5000 0.0000
Cl11 Cl 0.6033 0.0266 0.2502
In4 In 0.0228 0.9255 0.2563
Cl12 Cl 0.3031 0.6899 0.0456
```

## Properties
crystal system	monoclinic
formation energy without anion corrections	-127.9	kJ/mol of atoms
total energy	-3.74	eV per atom


# 9
# CeHo6Th2

A relaxed CeHo6Th2 crystal (PBE, Alexandria via LeMat-Bulk).

Cell and atoms, written as CIF:
```
data_CeHo6Th2
_chemical_formula_sum 'Ce2 Ho12 Th4'
_cell_length_a 6.0771
_cell_length_b 9.8329
_cell_length_c 9.8329
_cell_angle_alpha 104.53
_cell_angle_beta 90.62
_cell_angle_gamma 90.62
_space_group_name_H-M_alt 'P 1'
_space_group_IT_number 1
_space_group_name_Hall 'P 1'
loop_
_atom_site_label
_atom_site_type_symbol
_atom_site_fract_x
_atom_site_fract_y
_atom_site_fract_z
Ho1 Ho 0.0083 0.5242 0.3225
Ho2 Ho 0.4250 0.9803 0.3096
Th1 Th 0.9590 0.1846 0.2977
Ho3 Ho 0.5750 0.0197 0.6904
Th2 Th 0.4590 0.2977 0.1846
Ho4 Ho 0.5699 0.6297 0.1411
Ho5 Ho 0.4917 0.6775 0.4758
Th3 Th 0.5410 0.7023 0.8154
Ho6 Ho 0.0750 0.6904 0.0197
Ce1 Ce 0.2500 0.0253 0.9747
Ho7 Ho 0.0699 0.1411 0.6297
Ce2 Ce 0.7500 0.9747 0.0253
Ho8 Ho 0.9250 0.3096 0.9803
Ho9 Ho 0.4301 0.3703 0.8589
Ho10 Ho 0.9301 0.8589 0.3703
Ho11 Ho 0.9917 0.4758 0.6775
Th4 Th 0.0410 0.8154 0.7023
Ho12 Ho 0.5083 0.3225 0.5242
```

## Properties
DFT formation energy	0.15	eV per atom
crystal system	monoclinic
relative energy among the computed polymorphs	16	meV/atom
total energy	-5.21	eV per atom


# 10
# CdRh

A relaxed CdRh crystal (PBE, Alexandria via LeMat-Bulk).

Cell and atoms, written as CIF:
```
data_CdRh
_chemical_formula_sum 'Cd2 Rh2'
_cell_length_a 4.4037
_cell_length_b 4.4037
_cell_length_c 4.8913
_cell_angle_alpha 90.00
_cell_angle_beta 90.00
_cell_angle_gamma 120.00
_space_group_name_H-M_alt 'P 1'
_space_group_IT_number 1
_space_group_name_Hall 'P 1'
loop_
_atom_site_label
_atom_site_type_symbol
_atom_site_fract_x
_atom_site_fract_y
_atom_site_fract_z
Rh1 Rh 0.0000 0.0000 0.0000
Cd1 Cd 0.6667 0.3333 0.7500
Rh2 Rh 0.0000 0.0000 0.5000
Cd2 Cd 0.3333 0.6667 0.2500
```

## Properties
DFT formation energy	0.29	eV per atom
crystal system	hexagonal
total energy	-3.85	eV per atom


# 11
# Li2Mg3Tl

A relaxed Li2Mg3Tl crystal (PBE, Alexandria via LeMat-Bulk).

Cell and atoms, written as CIF:
```
data_Li2Mg3Tl
_chemical_formula_sum 'Li2 Mg3 Tl1'
_cell_length_a 5.7854
_cell_length_b 5.7854
_cell_length_c 4.8872
_cell_angle_alpha 90.00
_cell_angle_beta 90.00
_cell_angle_gamma 120.00
_space_group_name_H-M_alt 'P 1'
_space_group_IT_number 1
_space_group_name_Hall 'P 1'
loop_
_atom_site_label
_atom_site_type_symbol
_atom_site_fract_x
_atom_site_fract_y
_atom_site_fract_z
Li1 Li 0.3333 0.6667 0.0000
Tl1 Tl 0.0000 0.0000 0.0000
Mg1 Mg 0.0000 0.5000 0.5000
Li2 Li 0.6667 0.3333 0.0000
Mg2 Mg 0.5000 0.0000 0.5000
Mg3 Mg 0.5000 0.5000 0.5000
```

## Properties
DFT formation energy	0.06	eV per atom
crystal system	hexagonal
relative energy among the computed polymorphs	158	meV/atom
total energy	-1.77	eV per atom


# 12
# Sr2LiCaRh

A relaxed Sr2LiCaRh crystal (PBE, Alexandria via LeMat-Bulk).

Cell and atoms, written as CIF:
```
data_Sr2LiCaRh
_chemical_formula_sum 'Sr2 Li1 Ca1 Rh1'
_cell_length_a 5.8708
_cell_length_b 5.8708
_cell_length_c 5.5349
_cell_angle_alpha 90.00
_cell_angle_beta 90.00
_cell_angle_gamma 90.00
_space_group_name_H-M_alt 'P 1'
_space_group_IT_number 1
_space_group_name_Hall 'P 1'
loop_
_atom_site_label
_atom_site_type_symbol
_atom_site_fract_x
_atom_site_fract_y
_atom_site_fract_z
Sr1 Sr 0.5000 0.0000 0.0000
Sr2 Sr 0.0000 0.5000 0.0000
Li1 Li 0.5000 0.5000 0.5000
Rh1 Rh 0.0000 0.0000 0.0000
Ca1 Ca 0.0000 0.0000 0.5000
```

## Properties
DFT formation energy	-0.12	eV per atom
crystal system	tetragonal
relative energy among the computed polymorphs	0	meV/atom
total energy	-3.05	eV per atom